# 1
SrHgAu: relaxed, PBE-GGA.

Results
ΔE_f, eV/atom: -0.54
Magnetization, μB per atom: 0.00

Cell and atoms, written as CIF:
```
data_SrHgAu
_chemical_formula_sum 'Sr1 Hg1 Au1'
_symmetry_space_group_name_H-M 'P 1'
_symmetry_Int_Tables_number 1
_symmetry_space_group_name_Hall 'P 1'
_cell_length_a 5.7317
_cell_length_b 5.7317
_cell_length_c 5.7317
_cell_angle_alpha 138.92
_cell_angle_beta 138.92
_cell_angle_gamma 59.50
loop_
_atom_site_label
_atom_site_type_symbol
_atom_site_fract_x
_atom_site_fract_y
_atom_site_fract_z
Sr1 Sr 0.0000 0.0000 0.0000
Hg1 Hg 0.6790 0.6790 0.0000
Au1 Au 0.3342 0.3342 0.0000
```

# 2
SrHg3Au8: relaxed, PBE-GGA.

Results
ΔE_f, eV/atom: -0.19
Magnetization, μB per atom: 0.00

Cell and atoms, written as CIF:
```
data_SrHg3Au8
_chemical_formula_sum 'Sr1 Hg3 Au8'
_symmetry_space_group_name_H-M 'P 1'
_symmetry_Int_Tables_number 1
_symmetry_space_group_name_Hall 'P 1'
_cell_length_a 9.6693
_cell_length_b 9.6693
_cell_length_c 9.6693
_cell_angle_alpha 34.42
_cell_angle_beta 34.42
_cell_angle_gamma 34.42
loop_
_atom_site_label
_atom_site_type_symbol
_atom_site_fract_x
_atom_site_fract_y
_atom_site_fract_z
Sr1 Sr 0.0000 0.0000 0.0000
Hg1 Hg 0.3797 0.3797 0.3797
Hg2 Hg 0.5008 0.5008 0.5008
Hg3 Hg 0.8715 0.8715 0.8715
Au1 Au 0.1875 0.1875 0.1875
Au2 Au 0.4368 0.4368 0.9370
Au3 Au 0.4368 0.9370 0.4368
Au4 Au 0.4384 0.9381 0.9381
Au5 Au 0.6878 0.6878 0.6878
Au6 Au 0.9370 0.4368 0.4368
Au7 Au 0.9381 0.4384 0.9381
Au8 Au 0.9381 0.9381 0.4384
```

# 3
SrHg2Au: relaxed, PBE-GGA.

Results
ΔE_f, eV/atom: -0.39
Magnetization, μB per atom: 0.00

Cell and atoms, written as CIF:
```
data_SrHg2Au
_chemical_formula_sum 'Sr1 Hg2 Au1'
_symmetry_space_group_name_H-M 'P 1'
_symmetry_Int_Tables_number 1
_symmetry_space_group_name_Hall 'P 1'
_cell_length_a 4.7230
_cell_length_b 5.1068
_cell_length_c 4.8461
_cell_angle_alpha 90.00
_cell_angle_beta 98.51
_cell_angle_gamma 90.00
loop_
_atom_site_label
_atom_site_type_symbol
_atom_site_fract_x
_atom_site_fract_y
_atom_site_fract_z
Sr1 Sr 0.0000 0.0000 0.0000
Hg1 Hg 0.2926 0.5000 0.7091
Hg2 Hg 0.7074 0.5000 0.2909
Au1 Au 0.5000 0.0000 0.5000
```

# 4
SrHg4Au: relaxed, PBE-GGA.

Results
ΔE_f, eV/atom: -0.17
Energy above the most stable polymorph in this dataset, meV per atom: 148
Magnetization, μB per atom: 0.00

Cell and atoms, written as CIF:
```
data_SrHg4Au
_chemical_formula_sum 'Sr1 Hg4 Au1'
_symmetry_space_group_name_H-M 'P 1'
_symmetry_Int_Tables_number 1
_symmetry_space_group_name_Hall 'P 1'
_cell_length_a 6.0874
_cell_length_b 6.0874
_cell_length_c 6.0874
_cell_angle_alpha 60.00
_cell_angle_beta 60.00
_cell_angle_gamma 60.00
loop_
_atom_site_label
_atom_site_type_symbol
_atom_site_fract_x
_atom_site_fract_y
_atom_site_fract_z
Sr1 Sr 0.0000 0.0000 0.0000
Hg1 Hg 0.3756 0.3756 0.3756
Hg2 Hg 0.3756 0.3756 0.8730
Hg3 Hg 0.3756 0.8730 0.3756
Hg4 Hg 0.8730 0.3756 0.3756
Au1 Au 0.7500 0.7500 0.7500
```

# 5
SrHg7Au5: relaxed, PBE-GGA.

Results
ΔE_f, eV/atom: -0.11
Magnetization, μB per atom: 0.00

Cell and atoms, written as CIF:
```
data_SrHg7Au5
_chemical_formula_sum 'Sr1 Hg7 Au5'
_symmetry_space_group_name_H-M 'P 1'
_symmetry_Int_Tables_number 1
_symmetry_space_group_name_Hall 'P 1'
_cell_length_a 7.8172
_cell_length_b 7.8172
_cell_length_c 7.8172
_cell_angle_alpha 137.92
_cell_angle_beta 97.49
_cell_angle_gamma 97.32
loop_
_atom_site_label
_atom_site_type_symbol
_atom_site_fract_x
_atom_site_fract_y
_atom_site_fract_z
Sr1 Sr 0.0000 0.0000 0.0000
Hg1 Hg 0.2323 0.5236 0.7087
Hg2 Hg 0.2369 0.7369 0.5000
Hg3 Hg 0.3456 0.3456 0.0000
Hg4 Hg 0.3732 0.0187 0.3545
Hg5 Hg 0.6421 0.6421 0.0000
Hg6 Hg 0.6642 0.0187 0.6455
Hg7 Hg 0.8150 0.5236 0.2913
Au1 Au 0.0038 0.0193 0.4827
Au2 Au 0.0038 0.5211 0.9844
Au3 Au 0.5367 0.0193 0.0156
Au4 Au 0.5367 0.5211 0.5173
Au5 Au 0.8313 0.3313 0.5000
```

# 6
Sr2HgAu: relaxed, PBE-GGA.

Results
ΔE_f, eV/atom: -0.63
Magnetization, μB per atom: 0.00

Cell and atoms, written as CIF:
```
data_Sr2HgAu
_chemical_formula_sum 'Sr2 Hg1 Au1'
_symmetry_space_group_name_H-M 'P 1'
_symmetry_Int_Tables_number 1
_symmetry_space_group_name_Hall 'P 1'
_cell_length_a 3.9310
_cell_length_b 3.8926
_cell_length_c 7.8983
_cell_angle_alpha 90.00
_cell_angle_beta 90.25
_cell_angle_gamma 90.00
loop_
_atom_site_label
_atom_site_type_symbol
_atom_site_fract_x
_atom_site_fract_y
_atom_site_fract_z
Sr1 Sr 0.9998 0.0000 0.2385
Sr2 Sr 0.0002 0.0000 0.7615
Hg1 Hg 0.5000 0.5000 0.5000
Au1 Au 0.5000 0.5000 0.0000
```